Ce4Br3Cl7 | PBE | optimized geometry

Cell and atoms, written as CIF:
```
data_Ce4Br3Cl7
_chemical_formula_sum 'Ce4 Br3 Cl7'
_symmetry_space_group_name_H-M 'P 1'
_symmetry_Int_Tables_number 1
_cell_length_a 4.492
_cell_length_b 9.266
_cell_length_c 10.020
_cell_angle_alpha 71.79
_cell_angle_beta 77.05
_cell_angle_gamma 75.97
loop_
_symmetry_equiv_pos_as_xyz
'x,y,z'
loop_
_atom_site_label
_atom_site_fract_x
_atom_site_fract_y
_atom_site_fract_z
Cl1 0.831 0.413 0.926
Cl2 0.000 0.000 0.000
Cl3 0.492 0.249 0.767
Cl4 0.687 0.149 0.477
Cl5 0.169 0.587 0.074
Cl6 0.508 0.751 0.233
Cl7 0.313 0.851 0.523
Br1 0.692 0.816 0.799
Br2 0.000 0.500 0.500
Br3 0.308 0.184 0.201
Ce1 0.328 0.574 0.770
Ce2 0.889 0.925 0.296
Ce3 0.111 0.075 0.704
Ce4 0.672 0.426 0.230
```

- Crystal system: monoclinic
- Formation energy from raw total energies: -1.933 eV/atom
- V: 379 Å³/cell